Record 1
! NpAs2Rh4 (PBE-GGA, relaxed); values from VASP
&SYSTEM
  ibrav = 0, nat = 7, ntyp = 3
/
ATOMIC_SPECIES
Rh 102.91 Rh.upf
As 74.92 As.upf
Np 237.00 Np.upf
ATOMIC_POSITIONS crystal
Rh 0.9552 0.9552 0.2247
As 0.4198 0.4198 0.6997
Np 0.0000 0.0000 0.0000
Rh 0.2574 0.7426 0.5000
As 0.5802 0.5802 0.3003
Rh 0.0448 0.0448 0.7753
Rh 0.7426 0.2574 0.5000
CELL_PARAMETERS angstrom
3.7473 -0.0057 -1.3314
-0.2048 3.7417 -1.3314
-0.9362 -0.9874 9.5740
! - Fermi-level density of states: 10.89 states/eV/cell
! - DFT formation energy: -0.29 eV/atom
! - Raw total energy: -7.667 eV/atom
! - Space group: C2/m

Record 2
! ThTaC2 (PBE-GGA, relaxed); values from VASP
&SYSTEM
  ibrav = 0, nat = 16, ntyp = 3
/
ATOMIC_SPECIES
C 12.01 C.upf
Th 232.04 Th.upf
Ta 180.95 Ta.upf
ATOMIC_POSITIONS crystal
C 0.2500 0.7840 0.5163
Th 0.7500 0.0819 0.1400
C 0.2500 0.3333 0.2525
Th 0.2500 0.4181 0.6400
Th 0.2500 0.9181 0.8600
Ta 0.7500 0.9160 0.6067
Th 0.7500 0.5819 0.3600
Ta 0.2500 0.0840 0.3933
Ta 0.7500 0.4160 0.8933
C 0.7500 0.1667 0.7525
C 0.2500 0.2840 0.9837
Ta 0.2500 0.5840 0.1067
C 0.7500 0.2160 0.4837
C 0.7500 0.7160 0.0163
C 0.7500 0.6667 0.7475
C 0.2500 0.8333 0.2475
CELL_PARAMETERS angstrom
3.5266 0.0000 0.0000
0.0000 5.9953 0.0000
0.0000 0.0000 11.3653
! - Fermi-level density of states: 4.21 states/eV/cell
! - DFT formation energy: -0.48 eV/atom
! - Raw total energy: -9.909 eV/atom
! - Polymorph energy (0 for the lowest one): 0.000 eV per formula unit
! - Space group: Pnma

Record 3
! PbBr (PBE-GGA, relaxed); values from VASP
&SYSTEM
  ibrav = 0, nat = 4, ntyp = 2
/
ATOMIC_SPECIES
Pb 207.20 Pb.upf
Br 79.90 Br.upf
ATOMIC_POSITIONS crystal
Pb 0.2121 0.2121 0.0765
Br 0.9828 0.9828 0.9845
Br 0.7672 0.7672 0.5988
Pb 0.5379 0.5379 0.5069
CELL_PARAMETERS angstrom
-5.1516 -3.3535 -0.3311
-3.4020 -4.3390 2.7375
-4.0723 3.1658 3.3385
! - Formation energy without anion corrections: -0.452 eV per atom
! - Fermi-level density of states: 2.13 states/eV/cell
! - Raw total energy: -3.143 eV/atom
! - Space group: C2/m

Record 4
! TbGa2O4 (PBE-GGA, relaxed); values from VASP
&SYSTEM
  ibrav = 0, nat = 14, ntyp = 3
/
ATOMIC_SPECIES
O 16.00 O.upf
Ga 69.72 Ga.upf
Tb 158.93 Tb.upf
ATOMIC_POSITIONS crystal
O 0.7920 0.1780 0.7178
O 0.1338 0.2513 0.2105
Ga 0.4801 0.6013 0.0673
Tb 0.7746 0.4956 0.4346
O 0.6741 0.6834 0.7708
O 0.0705 0.7263 0.8222
Ga 0.8744 0.8627 0.6383
O 0.4951 0.7990 0.2926
Ga 0.2703 0.4320 0.8987
Tb 0.9764 0.0643 0.0049
Ga 0.3753 0.1286 0.3710
O 0.6174 0.2893 0.2476
O 0.9601 0.7817 0.3232
O 0.2557 0.2066 0.7005
CELL_PARAMETERS angstrom
0.7602 5.4713 3.8453
-4.8170 0.9159 3.1165
1.7916 -1.5390 5.3138
! - Formation energy without anion corrections: -2.243 eV per atom
! - Fermi-level density of states: 0.00 states/eV/cell
! - Raw total energy: -6.603 eV/atom
! - Polymorph energy (0 for the lowest one): 0.000 eV per formula unit
! - Space group: P1

Record 5
! Tl3Br (PBE-GGA, relaxed); values from VASP
&SYSTEM
  ibrav = 0, nat = 8, ntyp = 2
/
ATOMIC_SPECIES
Tl 204.38 Tl.upf
Br 79.90 Br.upf
ATOMIC_POSITIONS crystal
Tl 0.1670 0.3340 0.2500
Tl 0.8330 0.6660 0.7500
Tl 0.8330 0.1670 0.7500
Tl 0.1670 0.8330 0.2500
Tl 0.6660 0.8330 0.2500
Br 0.3333 0.6667 0.7500
Br 0.6667 0.3333 0.2500
Tl 0.3340 0.1670 0.7500
CELL_PARAMETERS angstrom
3.4814 -6.0299 0.0000
3.4814 6.0299 0.0000
0.0000 0.0000 6.2334
! - Formation energy without anion corrections: -0.269 eV per atom
! - Fermi-level density of states: 2.65 states/eV/cell
! - Raw total energy: -2.462 eV/atom
! - Polymorph energy (0 for the lowest one): 0.121 eV per formula unit
! - Space group: P6_3/mmc

Record 6
! NiMo2W (PBE-GGA, relaxed); values from VASP
&SYSTEM
  ibrav = 0, nat = 4, ntyp = 3
/
ATOMIC_SPECIES
W 183.84 W.upf
Ni 58.69 Ni.upf
Mo 95.94 Mo.upf
ATOMIC_POSITIONS crystal
W 0.7500 0.7500 0.7500
Ni 0.2500 0.2500 0.2500
Mo 0.9942 0.9942 0.9942
Mo 0.5058 0.5058 0.5058
CELL_PARAMETERS angstrom
9.4592 0.0076 0.0044
9.0629 2.7093 0.0044
9.0629 1.3293 2.3607
! - Fermi-level density of states: 3.41 states/eV/cell
! - DFT formation energy: 0.31 eV/atom
! - Raw total energy: -9.789 eV/atom
! - Polymorph energy (0 for the lowest one): 1.045 eV per formula unit
! - Space group: R-3m

Record 7
! Pm2BePd (PBE-GGA, relaxed); values from VASP
&SYSTEM
  ibrav = 0, nat = 4, ntyp = 3
/
ATOMIC_SPECIES
Pd 106.42 Pd.upf
Pm 145.00 Pm.upf
Be 9.01 Be.upf
ATOMIC_POSITIONS crystal
Pd 0.0000 0.0000 0.0000
Pm 0.9060 0.9060 0.2821
Pm 0.0940 0.0940 0.7179
Be 0.5000 0.5000 0.5000
CELL_PARAMETERS angstrom
3.3899 0.0000 0.0000
1.6949 2.9357 0.0000
1.6949 0.9786 9.6763
! - Fermi-level density of states: 4.27 states/eV/cell
! - DFT formation energy: 0.30 eV/atom
! - Raw total energy: -4.307 eV/atom
! - Polymorph energy (0 for the lowest one): 2.353 eV per formula unit
! - Space group: R-3m

Record 8
! Pr3Y6Ho2Tm (PBE-GGA, relaxed); values from VASP
&SYSTEM
  ibrav = 0, nat = 12, ntyp = 4
/
ATOMIC_SPECIES
Y 88.91 Y.upf
Pr 140.91 Pr.upf
Ho 164.93 Ho.upf
Tm 168.93 Tm.upf
ATOMIC_POSITIONS crystal
Y 0.7485 0.7485 0.2451
Y 0.0815 0.4147 0.2450
Pr 0.5000 0.5000 0.5000
Ho 0.3334 0.6666 0.0000
Pr 0.8333 0.1667 0.5000
Y 0.4147 0.0815 0.2450
Ho 0.6666 0.3334 0.0000
Y 0.9185 0.5853 0.7550
Tm 0.0000 0.0000 0.0000
Y 0.2515 0.2515 0.7549
Y 0.5853 0.9185 0.7550
Pr 0.1667 0.8333 0.5000
CELL_PARAMETERS angstrom
-3.7430 -1.6769 4.6900
-1.8794 -0.7290 -5.8953
6.4934 -9.9339 0.2537
! - Fermi-level density of states: 17.40 states/eV/cell
! - DFT formation energy: 0.02 eV/atom
! - Raw total energy: -5.541 eV/atom
! - Space group: C2/m

Record 9
! NaFe (PBE-GGA, relaxed); values from VASP
&SYSTEM
  ibrav = 0, nat = 12, ntyp = 2
/
ATOMIC_SPECIES
Fe 55.84 Fe.upf
Na 22.99 Na.upf
ATOMIC_POSITIONS crystal
Fe 0.5000 0.1215 0.0000
Fe 0.5000 0.8785 0.0000
Fe 0.0000 0.6215 0.0000
Fe 0.0000 0.5000 0.5000
Na 0.5000 0.5000 0.0000
Na 0.5000 0.6931 0.5000
Na 0.0000 0.8069 0.5000
Fe 0.5000 0.0000 0.5000
Na 0.0000 0.0000 0.0000
Na 0.0000 0.1931 0.5000
Fe 0.0000 0.3785 0.0000
Na 0.5000 0.3069 0.5000
CELL_PARAMETERS angstrom
5.4111 0.0000 0.0000
0.0000 15.8491 0.0000
0.0000 0.0000 2.7252
! - Fermi-level density of states: 8.20 states/eV/cell
! - DFT formation energy: 0.62 eV/atom
! - Raw total energy: -4.268 eV/atom
! - Space group: Cmmm

Record 10
! La3Mg2Tl (PBE-GGA, relaxed); values from VASP
&SYSTEM
  ibrav = 0, nat = 6, ntyp = 3
/
ATOMIC_SPECIES
Mg 24.30 Mg.upf
La 138.91 La.upf
Tl 204.38 Tl.upf
ATOMIC_POSITIONS crystal
Mg 0.0000 0.3282 0.6565
La 0.5000 0.5000 0.0000
Tl 0.0000 0.0000 0.0000
Mg 0.0000 0.6718 0.3435
La 0.5000 0.8344 0.6687
La 0.5000 0.1656 0.3313
CELL_PARAMETERS angstrom
-3.1544 1.3410 2.0398
-2.1647 -5.1445 0.0346
5.0691 0.9435 7.2187
! - Fermi-level density of states: 7.29 states/eV/cell
! - DFT formation energy: -0.22 eV/atom
! - Raw total energy: -3.613 eV/atom
! - Space group: Cmmm

Record 11
! BaY2Be (PBE-GGA, relaxed); values from VASP
&SYSTEM
  ibrav = 0, nat = 4, ntyp = 3
/
ATOMIC_SPECIES
Y 88.91 Y.upf
Be 9.01 Be.upf
Ba 137.33 Ba.upf
ATOMIC_POSITIONS crystal
Y 0.9354 0.9354 0.0650
Be 0.2696 0.2696 0.2292
Ba 0.5448 0.5448 0.4558
Y 0.7502 0.7502 0.7500
CELL_PARAMETERS angstrom
-1.5376 -1.4133 -6.6559
0.8026 -4.0998 -5.5866
-3.8901 -3.5683 -0.4514
! - Fermi-level density of states: 3.01 states/eV/cell
! - DFT formation energy: 0.36 eV/atom
! - Raw total energy: -4.283 eV/atom
! - Space group: Cm

Record 12
! TaNi2HW (PBE-GGA, relaxed); values from VASP
&SYSTEM
  ibrav = 0, nat = 5, ntyp = 4
/
ATOMIC_SPECIES
Ni 58.69 Ni.upf
W 183.84 W.upf
Ta 180.95 Ta.upf
H 1.01 H.upf
ATOMIC_POSITIONS crystal
Ni 0.0000 0.5000 0.0000
Ni 0.5000 0.0000 0.0000
W 0.5000 0.5000 0.5000
Ta 0.0000 0.0000 0.5000
H 0.0000 0.0000 0.0000
CELL_PARAMETERS angstrom
3.7731 0.0000 0.0000
0.0000 3.7731 0.0000
0.0000 0.0000 4.0597
! - Fermi-level density of states: 3.84 states/eV/cell
! - Raw total energy: -7.933 eV/atom
! - Polymorph energy (0 for the lowest one): 0.118 eV per formula unit
! - Space group: P4/mmm

What M_tot values result from the calculations? In sequence: 2.84, 0.00, 0.00, 0.00, 0.00, 0.00, 0.00, 0.00, 15.97, 0.00, 0.00, 0.00 μB per cell.